Material: Li2NiH6Pt
Method: DFT, GGA-PBE
State: optimized geometry

## Properties
- total DFT energy (no corrections) (eV/atom) = -3.860

Unit cell a=4.7512 b=4.7512 c=4.7512 alpha=60.00 beta=60.00 gamma=60.00
Closest atoms and distances in Å follow each position.
Positions (direct):
Li1 0.2500 0.2500 0.2500  12 H 2.38
Li2 0.7500 0.7500 0.7500  12 H 2.38
Ni1 0.0000 0.0000 0.0000  6 H 1.63
H1 0.2425 0.2425 0.7575  1 Ni 1.63, 1 Pt 1.73
H2 0.2425 0.7575 0.2425  1 Ni 1.63, 1 Pt 1.73
H3 0.2425 0.7575 0.7575  1 Ni 1.63, 1 Pt 1.73
H4 0.7575 0.2425 0.2425  1 Ni 1.63, 1 Pt 1.73
H5 0.7575 0.2425 0.7575  1 Ni 1.63, 1 Pt 1.73
H6 0.7575 0.7575 0.2425  1 Ni 1.63, 1 Pt 1.73
Pt1 0.5000 0.5000 0.5000  6 H 1.73